Entry from the Alexandria database: a relaxed structure of Y3BeTl (PBEsol).

The structure in extended XYZ format:
```
5
Lattice="-1.381 2.213 -4.403 -4.926 -0.493 1.297 0.136 4.588 2.263" Properties=species:S:1:pos:R:3 pbc="T T T"
Be 0.000 0.000 0.000
Y -2.463 -0.247 0.648
Y 0.068 2.294 1.132
Y -0.690 1.107 -2.201
Tl -3.085 3.154 -0.421
```

Output
* ρ: 5.95 g/cm³
* VASP energy: -5.34 eV per atom
* DFT formation energy: 0.08 eV/atom
* symmetry: Pm-3m, No. 221